## CaSmAlSn (GGA-PBE)

Data for an optimized crystal structure of CaSmAlSn.

abc: 7.537 7.537 7.537
angles: 90.00 90.00 90.00
Space group F-43m (No. 216)
One atom of each set of equivalent atoms:
Ca  0.000  0.000  0.000 (multiplicity 4)
Sm  0.000  0.000  0.500 (multiplicity 4)
Al  0.250  0.250  0.750 (multiplicity 4)
Sn  0.250  0.250  0.250 (multiplicity 4)

Calculated values
Electronic total energy = -4.0293 eV per atom
Formation energy = -1.7 eV/f.u.
Crystal system = cubic



## LiBe2TeO6 (GGA-PBE)

Data for an optimized crystal structure of LiBe2TeO6.

abc: 9.506 8.639 5.216
angles: 90.00 108.30 90.00
Space group C2/c (No. 15)
One atom of each set of equivalent atoms:
Li  0.000  0.080  0.250 (multiplicity 4)
Be  0.201  0.426  0.157 (multiplicity 8)
Te  0.000  0.269  0.750 (multiplicity 4)
O  0.090  0.273  0.145 (multiplicity 8)
O  0.126  0.108  0.694 (multiplicity 8)
O  0.154  0.433  0.817 (multiplicity 8)

Calculated values
Electronic total energy = -5.9041 eV per atom
Formation energy from raw total energies = -1678.4 meV/atom
Crystal system = monoclinic



## MgBe3Ni (GGA-PBE)

Data for an optimized crystal structure of MgBe3Ni.

abc: 4.013 4.013 4.013
angles: 90.00 90.00 90.00
Space group Pm-3m (No. 221)
One atom of each set of equivalent atoms:
Mg  0.000  0.000  0.000 (multiplicity 1)
Be  0.000  0.500  0.500 (multiplicity 3)
Ni  0.500  0.500  0.500 (multiplicity 1)

Calculated values
Electronic total energy = -3.4264 eV per atom
Formation energy = 1.4 eV/f.u.
Crystal system = cubic



## K4Dy3SbTe8 (GGA-PBE)

Data for an optimized crystal structure of K4Dy3SbTe8.

abc: 15.619 9.017 9.744
angles: 90.00 122.34 90.00
Space group C2/m (No. 12)
One atom of each set of equivalent atoms:
K  0.000  0.000  0.000 (multiplicity 2)
K  0.000  0.500  0.000 (multiplicity 2)
K  0.250  0.250  0.000 (multiplicity 4)
Dy  0.000  0.000  0.500 (multiplicity 2)
Dy  0.250  0.250  0.500 (multiplicity 4)
Sb  0.000  0.500  0.500 (multiplicity 2)
Te  0.014  0.250  0.293 (multiplicity 8)
Te  0.236  0.000  0.709 (multiplicity 4)
Te  0.236  0.500  0.707 (multiplicity 4)

Calculated values
Electronic total energy = -4.1437 eV per atom
Formation energy from raw total energies = -1177.9 meV/atom
Crystal system = monoclinic



What is the electronic total energy in the first record?
-4.0293 eV per atom



Which formula does entry 1 have?
CaSmAlSn



The lowest electronic total energy belongs to which entry?
LiBe2TeO6



electronic total energy of number 3 (MgBe3Ni)?
-3.4264 eV per atom